No. 1
DFT (PBE) results for Cs6Sm3Br14 after structural relaxation.

Cell: 13.263 13.263 7.114 Å, 90.00 90.00 120.00°
Element x y z (fractional)
Cs  0.027  0.454  0.000
Cs  0.308  0.210  0.526
Cs  0.426  0.973  0.000
Cs  0.546  0.574  0.000
Cs  0.790  0.097  0.526
Cs  0.903  0.692  0.526
Sm  0.000  0.000  0.098
Sm  0.333  0.667  0.578
Sm  0.667  0.333  0.252
Br  0.000  0.000  0.706
Br  0.074  0.222  0.230
Br  0.149  0.926  0.230
Br  0.182  0.737  0.717
Br  0.263  0.446  0.717
Br  0.333  0.667  0.187
Br  0.458  0.264  0.031
Br  0.530  0.125  0.475
Br  0.554  0.818  0.717
Br  0.596  0.470  0.475
Br  0.736  0.195  0.031
Br  0.778  0.851  0.230
Br  0.805  0.542  0.031
Br  0.875  0.404  0.475



No. 2
DFT (PBE) results for Cs3SmBr6 after structural relaxation.

Cell: 8.519 9.026 14.687 Å, 90.00 124.32 90.00°
Element x y z (fractional)
Cs  0.000  0.000  0.000
Cs  0.000  0.500  0.500
Cs  0.218  0.069  0.744
Cs  0.218  0.431  0.244
Cs  0.782  0.569  0.756
Cs  0.782  0.931  0.256
Sm  0.500  0.000  0.500
Sm  0.500  0.500  0.000
Br  0.178  0.174  0.451
Br  0.178  0.326  0.951
Br  0.267  0.736  0.430
Br  0.267  0.764  0.930
Br  0.397  0.050  0.279
Br  0.397  0.450  0.779
Br  0.603  0.550  0.221
Br  0.603  0.950  0.721
Br  0.733  0.236  0.070
Br  0.733  0.264  0.570
Br  0.822  0.674  0.049
Br  0.822  0.826  0.549



No. 3
DFT (PBE) results for CsSmBr3 after structural relaxation.

Cell: 5.784 5.784 5.784 Å, 90.00 90.00 90.00°
Element x y z (fractional)
Cs  0.000  0.000  0.000
Sm  0.500  0.500  0.500
Br  0.000  0.500  0.500
Br  0.500  0.000  0.500
Br  0.500  0.500  0.000



No. 4
DFT (PBE) results for CsSm2Br8 after structural relaxation.

Values from the calculation:
Energy relative to the lowest polymorph listed for this composition: 0.00 kJ/mol of atoms

Cell: 7.524 7.524 9.099 Å, 99.33 99.33 73.76°
Element x y z (fractional)
Cs  0.000  0.000  0.000
Sm  0.323  0.323  0.537
Sm  0.677  0.677  0.463
Br  0.044  0.669  0.646
Br  0.243  0.243  0.810
Br  0.331  0.956  0.354
Br  0.441  0.441  0.293
Br  0.559  0.559  0.707
Br  0.669  0.044  0.646
Br  0.757  0.757  0.190
Br  0.956  0.331  0.354



No. 5
DFT (PBE) results for Cs3Sm2Br9 after structural relaxation.

Cell: 10.537 10.537 10.537 Å, 83.90 83.90 83.90°
Element x y z (fractional)
Cs  0.086  0.750  0.414
Cs  0.250  0.586  0.914
Cs  0.414  0.086  0.750
Cs  0.586  0.914  0.250
Cs  0.750  0.414  0.086
Cs  0.914  0.250  0.586
Sm  0.150  0.150  0.150
Sm  0.350  0.350  0.350
Sm  0.650  0.650  0.650
Sm  0.850  0.850  0.850
Br  0.080  0.269  0.916
Br  0.084  0.920  0.731
Br  0.094  0.406  0.250
Br  0.231  0.420  0.584
Br  0.250  0.094  0.406
Br  0.269  0.916  0.080
Br  0.406  0.250  0.094
Br  0.416  0.769  0.580
Br  0.420  0.584  0.231
Br  0.580  0.416  0.769
Br  0.584  0.231  0.420
Br  0.594  0.750  0.906
Br  0.731  0.084  0.920
Br  0.750  0.906  0.594
Br  0.769  0.580  0.416
Br  0.906  0.594  0.750
Br  0.916  0.080  0.269
Br  0.920  0.731  0.084



No. 6
DFT (PBE) results for CsSm2Br8 after structural relaxation.

Values from the calculation:
Energy relative to the lowest polymorph listed for this composition: 4.39 kJ/mol of atoms

Cell: 7.006 7.006 9.044 Å, 90.00 90.00 90.00°
Element x y z (fractional)
Cs  0.000  0.000  0.000
Sm  0.000  0.500  0.500
Sm  0.500  0.000  0.500
Br  0.252  0.252  0.307
Br  0.252  0.252  0.693
Br  0.252  0.748  0.307
Br  0.252  0.748  0.693
Br  0.748  0.252  0.307
Br  0.748  0.252  0.693
Br  0.748  0.748  0.307
Br  0.748  0.748  0.693



No. 7
DFT (PBE) results for CsSmSn2Br8 after structural relaxation.

Cell: 6.905 7.394 9.903 Å, 83.49 85.69 86.66°
Element x y z (fractional)
Cs  0.000  0.000  0.000
Sm  0.000  0.000  0.500
Sn  0.478  0.481  0.252
Sn  0.522  0.519  0.748
Br  0.230  0.324  0.469
Br  0.247  0.840  0.296
Br  0.256  0.853  0.706
Br  0.261  0.395  0.056
Br  0.739  0.605  0.944
Br  0.744  0.147  0.294
Br  0.753  0.160  0.704
Br  0.770  0.676  0.531



No. 8
DFT (PBE) results for CsSmSnBr6 after structural relaxation.

Cell: 7.709 7.709 7.929 Å, 90.00 90.00 120.00°
Element x y z (fractional)
Cs  0.000  0.000  0.000
Sm  0.667  0.333  0.500
Sn  0.333  0.667  0.500
Br  0.384  0.012  0.712
Br  0.384  0.372  0.288
Br  0.628  0.012  0.288
Br  0.628  0.616  0.712
Br  0.988  0.372  0.712
Br  0.988  0.616  0.288



No. 9
DFT (PBE) results for Cs2SmSnBr6 after structural relaxation.

Cell: 8.099 13.174 8.507 Å, 90.00 90.00 90.00°
Element x y z (fractional)
Cs  0.250  0.024  0.228
Cs  0.250  0.476  0.228
Cs  0.750  0.524  0.772
Cs  0.750  0.976  0.772
Sm  0.250  0.750  0.819
Sm  0.750  0.250  0.181
Sn  0.250  0.250  0.681
Sn  0.750  0.750  0.319
Br  0.006  0.750  0.064
Br  0.007  0.250  0.413
Br  0.250  0.534  0.810
Br  0.250  0.966  0.810
Br  0.493  0.250  0.413
Br  0.494  0.750  0.064
Br  0.506  0.250  0.936
Br  0.507  0.750  0.587
Br  0.750  0.034  0.190
Br  0.750  0.466  0.190
Br  0.993  0.750  0.587
Br  0.994  0.250  0.936



No. 10
DFT (PBE) results for Cs2SrSmBr6 after structural relaxation.

Cell: 8.375 11.842 8.367 Å, 90.00 90.00 90.00°
Element x y z (fractional)
Cs  0.250  0.000  0.249
Cs  0.250  0.500  0.249
Cs  0.750  0.000  0.751
Cs  0.750  0.500  0.751
Sr  0.250  0.250  0.749
Sr  0.750  0.750  0.251
Sm  0.250  0.750  0.750
Sm  0.750  0.250  0.250
Br  0.004  0.750  0.505
Br  0.004  0.750  0.996
Br  0.250  0.504  0.750
Br  0.250  0.996  0.750
Br  0.496  0.750  0.505
Br  0.496  0.750  0.996
Br  0.504  0.250  0.004
Br  0.504  0.250  0.495
Br  0.750  0.004  0.250
Br  0.750  0.496  0.250
Br  0.996  0.250  0.004
Br  0.996  0.250  0.495



No. 11
DFT (PBE) results for CsSrSmBr6 after structural relaxation.

Cell: 7.839 7.839 15.564 Å, 90.00 90.00 120.00°
Element x y z (fractional)
Cs  0.000  0.000  0.000
Cs  0.000  0.000  0.500
Sr  0.333  0.667  0.250
Sr  0.667  0.333  0.750
Sm  0.333  0.667  0.750
Sm  0.667  0.333  0.250
Br  0.018  0.388  0.642
Br  0.018  0.631  0.858
Br  0.369  0.388  0.858
Br  0.369  0.982  0.642
Br  0.388  0.018  0.142
Br  0.388  0.369  0.358
Br  0.612  0.631  0.642
Br  0.612  0.982  0.858
Br  0.631  0.018  0.358
Br  0.631  0.612  0.142
Br  0.982  0.369  0.142
Br  0.982  0.612  0.358



No. 12
DFT (PBE) results for CsSmTeBr2 after structural relaxation.

Cell: 10.259 10.259 8.975 Å, 90.00 90.00 154.41°
Element x y z (fractional)
Cs  0.208  0.792  0.750
Cs  0.792  0.208  0.250
Sm  0.500  0.500  0.000
Sm  0.500  0.500  0.500
Te  0.007  0.993  0.750
Te  0.993  0.007  0.250
Br  0.358  0.642  0.519
Br  0.358  0.642  0.981
Br  0.642  0.358  0.019
Br  0.642  0.358  0.481



No. 13
DFT (PBE) results for CsSmTl2Br6 after structural relaxation.

Cell: 8.757 8.757 8.757 Å, 56.93 56.93 56.93°
Element x y z (fractional)
Cs  0.000  0.000  0.000
Sm  0.485  0.485  0.485
Tl  0.286  0.286  0.286
Tl  0.799  0.799  0.799
Br  0.120  0.655  0.427
Br  0.253  0.576  0.835
Br  0.427  0.120  0.655
Br  0.576  0.835  0.253
Br  0.655  0.427  0.120
Br  0.835  0.253  0.576



No. 14
DFT (PBE) results for Cs2SnBr5 after structural relaxation.

Values from the calculation:
Energy relative to the lowest polymorph listed for this composition: 0.00 kJ/mol of atoms

Cell: 10.196 7.876 16.342 Å, 90.00 90.00 90.00°
Element x y z (fractional)
Cs  0.031  0.250  0.201
Cs  0.175  0.750  0.417
Cs  0.325  0.250  0.917
Cs  0.469  0.750  0.701
Cs  0.531  0.250  0.299
Cs  0.675  0.750  0.083
Cs  0.825  0.250  0.583
Cs  0.969  0.750  0.799
Sn  0.180  0.750  0.062
Sn  0.320  0.250  0.562
Sn  0.680  0.750  0.438
Sn  0.820  0.250  0.938
Br  0.000  0.000  0.000
Br  0.000  0.500  0.000
Br  0.036  0.750  0.205
Br  0.160  0.000  0.614
Br  0.160  0.500  0.614
Br  0.202  0.250  0.403
Br  0.298  0.750  0.903
Br  0.340  0.000  0.114
Br  0.340  0.500  0.114
Br  0.464  0.250  0.705
Br  0.500  0.000  0.500
Br  0.500  0.500  0.500
Br  0.536  0.750  0.295
Br  0.660  0.000  0.886
Br  0.660  0.500  0.886
Br  0.702  0.250  0.097
Br  0.798  0.750  0.597
Br  0.840  0.000  0.386
Br  0.840  0.500  0.386
Br  0.964  0.250  0.795



No. 15
DFT (PBE) results for Cs4Sn2Br after structural relaxation.

Cell: 7.557 7.557 17.349 Å, 90.00 90.00 90.00°
Element x y z (fractional)
Cs  0.000  0.000  0.201
Cs  0.000  0.000  0.799
Cs  0.000  0.500  0.000
Cs  0.000  0.500  0.500
Cs  0.500  0.000  0.000
Cs  0.500  0.000  0.500
Cs  0.500  0.500  0.299
Cs  0.500  0.500  0.701
Sn  0.000  0.000  0.422
Sn  0.000  0.000  0.578
Sn  0.500  0.500  0.078
Sn  0.500  0.500  0.922
Br  0.000  0.000  0.000
Br  0.500  0.500  0.500



No. 16
DFT (PBE) results for CsSn4Br8 after structural relaxation.

Values from the calculation:
Energy relative to the lowest polymorph listed for this composition: 0.00 kJ/mol of atoms

Cell: 9.986 9.986 9.986 Å, 54.12 54.12 54.12°
Element x y z (fractional)
Cs  0.000  0.000  0.000
Sn  0.000  0.000  0.500
Sn  0.000  0.500  0.000
Sn  0.500  0.000  0.000
Sn  0.500  0.500  0.500
Br  0.228  0.228  0.228
Br  0.230  0.729  0.729
Br  0.271  0.271  0.770
Br  0.271  0.770  0.271
Br  0.729  0.230  0.729
Br  0.729  0.729  0.230
Br  0.770  0.271  0.271
Br  0.772  0.772  0.772



No. 17
DFT (PBE) results for CsSnBr3 after structural relaxation.

Cell: 8.342 11.750 8.217 Å, 90.00 90.00 90.00°
Element x y z (fractional)
Cs  0.044  0.250  0.010
Cs  0.456  0.750  0.510
Cs  0.544  0.250  0.490
Cs  0.956  0.750  0.990
Sn  0.000  0.000  0.500
Sn  0.000  0.500  0.500
Sn  0.500  0.000  0.000
Sn  0.500  0.500  0.000
Br  0.006  0.750  0.446
Br  0.213  0.528  0.788
Br  0.213  0.972  0.788
Br  0.287  0.028  0.288
Br  0.287  0.472  0.288
Br  0.494  0.250  0.946
Br  0.506  0.750  0.054
Br  0.713  0.528  0.712
Br  0.713  0.972  0.712
Br  0.787  0.028  0.212
Br  0.787  0.472  0.212
Br  0.994  0.250  0.554



No. 18
DFT (PBE) results for CsSnBr3 after structural relaxation.

Cell: 4.657 7.596 12.719 Å, 90.00 90.00 90.00°
Element x y z (fractional)
Cs  0.000  0.000  0.000
Cs  0.000  0.500  0.500
Sn  0.500  0.000  0.276
Sn  0.500  0.500  0.776
Br  0.000  0.246  0.760
Br  0.000  0.254  0.260
Br  0.000  0.746  0.260
Br  0.000  0.754  0.760
Br  0.500  0.000  0.483
Br  0.500  0.500  0.983



Number 1: E_form (uncorrected) -1.76 eV per atom, uncorrected energy -83.220 eV for the cell shown. Number 2: E_form (uncorrected) -1.87 eV per atom, uncorrected energy -72.117 eV for the cell shown. Number 3: E_form (uncorrected) -1.64 eV per atom, uncorrected energy -18.779 eV for the cell shown. Number 4: E_form (uncorrected) -1.63 eV per atom, uncorrected energy -41.569 eV for the cell shown. Number 5: E_form (uncorrected) -1.89 eV per atom, uncorrected energy -106.926 eV for the cell shown. Number 6: E_form (uncorrected) -1.58 eV per atom, uncorrected energy -41.070 eV for the cell shown. Number 7: E_form (uncorrected) -1.28 eV per atom, uncorrected energy -42.349 eV for the cell shown. Number 8: E_form (uncorrected) -1.53 eV per atom, uncorrected energy -33.371 eV for the cell shown. Number 9: E_form (uncorrected) -1.47 eV per atom, uncorrected energy -70.336 eV for the cell shown. Number 10: E_form (uncorrected) -1.79 eV per atom, uncorrected energy -72.141 eV for the cell shown. Number 11: E_form (uncorrected) -1.98 eV per atom, uncorrected energy -70.137 eV for the cell shown. Number 12: E_form (uncorrected) -1.66 eV per atom, uncorrected energy -40.749 eV for the cell shown. Number 13: E_form (uncorrected) -1.47 eV per atom, uncorrected energy -35.092 eV for the cell shown. Number 14: E_form (uncorrected) -1.28 eV per atom, uncorrected energy -97.350 eV for the cell shown. Number 15: E_form (uncorrected) -0.50 eV per atom, uncorrected energy -33.232 eV for the cell shown. Number 16: E_form (uncorrected) -0.81 eV per atom, uncorrected energy -40.793 eV for the cell shown. Number 17: E_form (uncorrected) -1.23 eV per atom, uncorrected energy -64.027 eV for the cell shown. Number 18: E_form (uncorrected) -1.10 eV per atom, uncorrected energy -30.724 eV for the cell shown.